Density functional theory data (PBE with a Hubbard U) for an optimized crystal structure of WS2O8F.

a b c (Å): 8.5811 5.3068 7.7191
angles (deg): 90.00 95.48 90.00
Closest atoms and distances in Å follow each position.
Space group C2/m (No. 12)
Unique sites:
W  0.0000  0.0000  0.0000 (multiplicity 2)  6 O 2.04-2.09
S  0.1309  0.5000  0.7888 (multiplicity 4)  4 O 1.41-1.52
O  0.0266  0.2757  0.8213 (multiplicity 8)  1 S 1.52
O  0.1832  0.5000  0.6204 (multiplicity 4)  1 S 1.41
O  0.2420  0.0000  0.0611 (multiplicity 4)  1 S 1.51
F  0.0000  0.0000  0.5000 (multiplicity 2)  10 O 2.87-3.18

As for the density of states at the Fermi level: 5.436 states/eV per cell. The calculation puts the raw total energy at -5.989 eV/atom. For the size of the total moment, the calculation gives 2.59 μB/f.u.